1.
First-principles (PBE) data for a geometry-optimized Hf6CoHg structure, as listed in the Alexandria database.

Values from the calculation:
ΔE_f (eV per atom): 0.1577

Lattice parameters (Å, degrees): 9.2443 9.2443 7.1224 90.00 90.00 120.00
With the nearest neighbours (Å) after each atom.
Space group R-3m (No. 166, hexagonal axes)
Symmetry-distinct sites (fractional):
1 Hf 0.0543 0.5271 0.3078  1 Co 2.45
2 Co 0.0000 0.0000 0.5000  6 Hf 2.45
3 Hg 0.0000 0.0000 0.0000  12 Hf 3.11-3.39


2.
First-principles (PBE) data for a geometry-optimized TaSi2Os structure, as listed in the Alexandria database.

Values from the calculation:
Uncorrected formation energy (eV/atom): -0.036

Lattice parameters (Å, degrees): 2.8692 4.9963 8.4737 90.00 90.00 90.00
With the nearest neighbours (Å) after each atom.
Space group Immm (No. 71)
Symmetry-distinct sites (fractional):
1 Ta 0.0000 0.0000 0.0000  4 Si 2.68, 2 Ta 2.87, 4 Os 2.88
2 Si 0.0000 0.5000 0.2329  2 Os 2.44, 2 Ta 2.68
3 Os 0.0000 0.0000 0.5000  4 Si 2.44


Number 1: VASP energy -8.233 eV/atom. Number 2: VASP energy -8.519 eV/atom.